(1)
First-principles (PBE) data for a geometry-optimized Tb6HoTm2 structure, as listed in Alexandria via LeMat-Bulk.

Computed properties:
Fermi-level density of states (states/eV per cell): 45.76
Distance to the lowest polymorph of the same formula (kJ/mol of formula units): 81.5
Final energy (eV per atom): -4.48
Size of the total moment (μB per formula unit): 0.00

a = 12.6899 Å, b = 14.1506 Å, c = 6.5327 Å
α = 90.00°, β = 104.16°, γ = 90.00°
Last column: nearest neighbours and their distance in Å.
Space group C2/c (No. 15)
Asymmetric unit:
Tb 0.0364 0.1839 0.0036  5 Tb 3.21-3.56, 1 Ho 3.30, 3 Tm 3.32-3.46
Tb 0.1345 0.4121 0.8171  3 Tb 3.31-3.42, 2 Ho 3.38-3.67, 2 Tm 3.46-3.47
Tb 0.2388 0.2000 0.7249  6 Tb 3.34-3.50, 2 Tm 3.45-3.59, 1 Ho 3.47
Ho 0.0000 0.3799 0.2500  8 Tb 3.30-3.67
Tm 0.1412 0.0228 0.3663  7 Tb 3.32-3.59, 3 Tm 3.33-3.53

---

(2)
First-principles (PBE) data for a geometry-optimized K3CuGe structure, as listed in Alexandria via LeMat-Bulk.

Computed properties:
Fermi-level density of states (states/eV per cell): 3.71
Distance to the lowest polymorph of the same formula (kJ/mol of formula units): 0.0
Final energy (eV per atom): -1.90
Size of the total moment (μB per formula unit): 2.00

a = 6.1001 Å, b = 6.1001 Å, c = 6.1001 Å
α = 90.00°, β = 90.00°, γ = 90.00°
Last column: nearest neighbours and their distance in Å.
Space group Pm-3m (No. 221)
Asymmetric unit:
K 0.0000 0.0000 0.5000  2 Cu 3.05
Cu 0.0000 0.0000 0.0000  6 K 3.05
Ge 0.5000 0.5000 0.5000  12 K 4.31

---

(3)
First-principles (PBE) data for a geometry-optimized LiHoBi structure, as listed in Alexandria via LeMat-Bulk.

Computed properties:
Fermi-level density of states (states/eV per cell): 15.88
Distance to the lowest polymorph of the same formula (kJ/mol of formula units): 0.0
Final energy (eV per atom): -4.05
Size of the total moment (μB per formula unit): 0.00

a = 7.4973 Å, b = 4.4986 Å, c = 13.1068 Å
α = 90.00°, β = 90.48°, γ = 90.00°
Last column: nearest neighbours and their distance in Å.
Space group P2_1/m (No. 11)
Asymmetric unit:
Li 0.0077 0.2500 0.0956  4 Bi 2.80-2.93, 1 Li 3.02
Li 0.1703 0.2500 0.4514  4 Bi 2.78-2.98
Li 0.3531 0.7500 0.8043  3 Bi 2.82-2.86, 1 Li 3.02
Ho 0.0154 0.2500 0.6953  5 Bi 3.19-3.24, 5 Li 3.26-3.55
Ho 0.3481 0.7500 0.0741  5 Bi 3.22-3.25, 6 Li 3.42-3.54
Ho 0.4850 0.7500 0.3774  5 Bi 3.19-3.23, 5 Li 3.41-3.50
Bi 0.2215 0.2500 0.9095  5 Li 2.82-2.93
Bi 0.2258 0.7500 0.5719  3 Li 2.78-2.98
Bi 0.2767 0.2500 0.2451  3 Li 2.80-2.86

---

(4)
First-principles (PBE) data for a geometry-optimized Sc2TiSbO structure, as listed in Alexandria via LeMat-Bulk.

Computed properties:
Fermi-level density of states (states/eV per cell): 5.14
Final energy (eV per atom): -7.30
Size of the total moment (μB per formula unit): 0.90
Formation energy without anion corrections (eV per atom): -1.374

a = 4.5419 Å, b = 4.5419 Å, c = 4.0852 Å
α = 90.00°, β = 90.00°, γ = 90.00°
Last column: nearest neighbours and their distance in Å.
Space group P4/mmm (No. 123)
Asymmetric unit:
Sc 0.0000 0.5000 0.0000  2 O 2.27
Ti 0.0000 0.0000 0.5000  2 O 2.04
Sb 0.5000 0.5000 0.5000  8 Sc 3.05, 4 Ti 3.21
O 0.0000 0.0000 0.0000  2 Ti 2.04, 4 Sc 2.27

---

(5)
First-principles (PBE) data for a geometry-optimized Mn2SCl2 structure, as listed in Alexandria via LeMat-Bulk.

Computed properties:
Fermi-level density of states (states/eV per cell): 0.40
Final energy (eV per atom): -6.06
Size of the total moment (μB per formula unit): 10.01
Formation energy without anion corrections (eV per atom): -0.826

a = 6.4144 Å, b = 3.7026 Å, c = 9.4295 Å
α = 90.00°, β = 90.45°, γ = 90.00°
Last column: nearest neighbours and their distance in Å.
Space group C2/m (No. 12)
Asymmetric unit:
Mn 0.1686 0.0000 0.1604  3 Cl 2.55, 3 S 2.62
S 0.0000 0.5000 0.0000  6 Mn 2.62
Cl 0.1630 0.0000 0.6923  3 Mn 2.55

---

(6)
First-principles (PBE) data for a geometry-optimized Pr3Nd4Tm5 structure, as listed in Alexandria via LeMat-Bulk.

Computed properties:
Fermi-level density of states (states/eV per cell): 15.53
Distance to the lowest polymorph of the same formula (kJ/mol of formula units): 0.0
Final energy (eV per atom): -4.63
Size of the total moment (μB per formula unit): 0.00

a = 6.2501 Å, b = 7.2094 Å, c = 8.8412 Å
α = 89.99°, β = 89.96°, γ = 89.94°
Last column: nearest neighbours and their distance in Å.
Space group P-1 (No. 2)
Asymmetric unit:
Pr 0.0000 0.0000 0.0000  8 Tm 3.58-3.61, 2 Nd 3.60, 2 Pr 3.60
Pr 0.1692 0.2492 0.3322  5 Tm 3.58-3.64, 6 Nd 3.59-3.65, 1 Pr 3.60
Nd 0.1698 0.7509 0.3322  5 Tm 3.58-3.64, 4 Pr 3.59-3.64, 3 Nd 3.60-3.65
Nd 0.3310 0.4995 0.6718  5 Tm 3.56-3.61, 4 Nd 3.60-3.70, 3 Pr 3.61-3.65
Tm 0.0000 0.5000 0.0000  4 Nd 3.56-3.61, 4 Pr 3.60-3.61, 4 Tm 3.61
Tm 0.3352 0.0001 0.6709  3 Tm 3.57-3.66, 5 Nd 3.58-3.64, 4 Pr 3.58-3.64
Tm 0.4993 0.7511 0.0003  6 Tm 3.57-3.62, 3 Nd 3.58, 3 Pr 3.60-3.61

---

- Number 6 is which compound?
  Pr3Nd4Tm5